# Sr2Zn4InAu3 PBE-GGA relaxed
data_Sr2Zn4InAu3
_space_group_name_H-M_alt 'P 1'
_space_group_IT_number 1
_cell_length_a 4.389
_cell_length_b 4.389
_cell_length_c 11.621
_cell_angle_alpha 90.00
_cell_angle_beta 90.00
_cell_angle_gamma 90.00
loop_
_space_group_symop_operation_xyz
'x,y,z'
loop_
_atom_site_label
_atom_site_type_symbol
_atom_site_fract_x
_atom_site_fract_y
_atom_site_fract_z
Sr1 Sr 0.000 0.500 0.242
Sr2 Sr 0.500 0.000 0.758
Zn1 Zn 0.000 0.000 0.000
Zn2 Zn 0.000 0.500 0.645
Zn3 Zn 0.500 0.000 0.355
Zn4 Zn 0.500 0.500 0.000
In1 In 0.000 0.000 0.500
Au1 Au 0.000 0.500 0.868
Au2 Au 0.500 0.000 0.132
Au3 Au 0.500 0.500 0.500
# **Crystal system**: tetragonal
# **Formation energy from the elements**: -0.461 eV/atom
# **SG**: No. 115